No. 1
Compound: Sr3CuMo
Source: Alexandria
Functional: PBE
Structure: optimized geometry

Computed properties:
The value obtained for the offset from the most stable computed form is 0.000 eV/atom. For the raw total energy, the calculation gives -3.185 eV/atom. Its symmetry is Pm-3m. The value obtained for the total magnetic moment is 4.44 μB/cell.

```
data_Sr3CuMo
_chemical_formula_sum 'Sr3 Cu1 Mo1'
_cell_length_a 5.823
_cell_length_b 5.823
_cell_length_c 5.823
_cell_angle_alpha 90.00
_cell_angle_beta 90.00
_cell_angle_gamma 90.00
_symmetry_space_group_name_H-M 'P 1'
_symmetry_Int_Tables_number 1
loop_
_symmetry_equiv_pos_as_xyz
'x,y,z'
loop_
_atom_site_label
_atom_site_type_symbol
_atom_site_fract_x
_atom_site_fract_y
_atom_site_fract_z
_atom_site_occupancy
Sr1 Sr 0.000 0.000 0.500 1
Sr2 Sr 0.000 0.500 0.000 1
Sr3 Sr 0.500 0.000 0.000 1
Cu1 Cu 0.000 0.000 0.000 1
Mo1 Mo 0.500 0.500 0.500 1
```

---

No. 2
Compound: SrCuMo
Source: Alexandria
Functional: PBE
Structure: optimized geometry

Computed properties:
The value obtained for the offset from the most stable computed form is 0.409 eV/atom. For the raw total energy, the calculation gives -4.406 eV/atom. Its symmetry is F-43m. The value obtained for the total magnetic moment is 3.96 μB/cell.

```
data_SrCuMo
_chemical_formula_sum 'Sr1 Cu1 Mo1'
_cell_length_a 4.800
_cell_length_b 4.800
_cell_length_c 4.800
_cell_angle_alpha 60.00
_cell_angle_beta 60.00
_cell_angle_gamma 60.00
_symmetry_space_group_name_H-M 'P 1'
_symmetry_Int_Tables_number 1
loop_
_symmetry_equiv_pos_as_xyz
'x,y,z'
loop_
_atom_site_label
_atom_site_type_symbol
_atom_site_fract_x
_atom_site_fract_y
_atom_site_fract_z
_atom_site_occupancy
Sr1 Sr 0.000 0.000 0.000 1
Cu1 Cu 0.750 0.750 0.750 1
Mo1 Mo 0.500 0.500 0.500 1
```

---

No. 3
Compound: SrCuMo3
Source: Alexandria
Functional: PBE
Structure: optimized geometry

Computed properties:
The value obtained for the offset from the most stable computed form is 1.562 eV/atom. For the raw total energy, the calculation gives -4.499 eV/atom. Its symmetry is Pm-3m. The value obtained for the total magnetic moment is 0.00 μB/cell.

```
data_SrCuMo3
_chemical_formula_sum 'Sr1 Cu1 Mo3'
_cell_length_a 4.743
_cell_length_b 4.743
_cell_length_c 4.743
_cell_angle_alpha 90.00
_cell_angle_beta 90.00
_cell_angle_gamma 90.00
_symmetry_space_group_name_H-M 'P 1'
_symmetry_Int_Tables_number 1
loop_
_symmetry_equiv_pos_as_xyz
'x,y,z'
loop_
_atom_site_label
_atom_site_type_symbol
_atom_site_fract_x
_atom_site_fract_y
_atom_site_fract_z
_atom_site_occupancy
Sr1 Sr 0.000 0.000 0.000 1
Cu1 Cu 0.500 0.500 0.500 1
Mo1 Mo 0.000 0.000 0.500 1
Mo2 Mo 0.000 0.500 0.000 1
Mo3 Mo 0.500 0.000 0.000 1
```

---

No. 4
Compound: SrCuMo
Source: Alexandria
Functional: PBE
Structure: optimized geometry

Computed properties:
The value obtained for the offset from the most stable computed form is 1.048 eV/atom. For the raw total energy, the calculation gives -3.767 eV/atom. Its symmetry is F-43m. The value obtained for the total magnetic moment is 4.04 μB/cell.

```
data_SrCuMo
_chemical_formula_sum 'Sr1 Cu1 Mo1'
_cell_length_a 4.963
_cell_length_b 4.963
_cell_length_c 4.963
_cell_angle_alpha 60.00
_cell_angle_beta 60.00
_cell_angle_gamma 60.00
_symmetry_space_group_name_H-M 'P 1'
_symmetry_Int_Tables_number 1
loop_
_symmetry_equiv_pos_as_xyz
'x,y,z'
loop_
_atom_site_label
_atom_site_type_symbol
_atom_site_fract_x
_atom_site_fract_y
_atom_site_fract_z
_atom_site_occupancy
Sr1 Sr 0.000 0.000 0.000 1
Cu1 Cu 0.250 0.250 0.250 1
Mo1 Mo 0.750 0.750 0.750 1
```

---

No. 5
Compound: SrCu2Mo2
Source: Alexandria
Functional: PBE
Structure: optimized geometry

Computed properties:
The value obtained for the offset from the most stable computed form is 0.139 eV/atom. For the raw total energy, the calculation gives -5.734 eV/atom. Its symmetry is P4/mbm. The value obtained for the total magnetic moment is 0.00 μB/cell.

```
data_SrCu2Mo2
_chemical_formula_sum 'Sr2 Cu4 Mo4'
_cell_length_a 8.188
_cell_length_b 8.188
_cell_length_c 2.656
_cell_angle_alpha 90.00
_cell_angle_beta 90.00
_cell_angle_gamma 90.00
_symmetry_space_group_name_H-M 'P 1'
_symmetry_Int_Tables_number 1
loop_
_symmetry_equiv_pos_as_xyz
'x,y,z'
loop_
_atom_site_label
_atom_site_type_symbol
_atom_site_fract_x
_atom_site_fract_y
_atom_site_fract_z
_atom_site_occupancy
Sr1 Sr 0.000 0.000 0.000 1
Sr2 Sr 0.500 0.500 0.000 1
Cu1 Cu 0.183 0.317 0.000 1
Cu2 Cu 0.317 0.817 0.000 1
Cu3 Cu 0.683 0.183 0.000 1
Cu4 Cu 0.817 0.683 0.000 1
Mo1 Mo 0.108 0.608 0.500 1
Mo2 Mo 0.392 0.108 0.500 1
Mo3 Mo 0.608 0.892 0.500 1
Mo4 Mo 0.892 0.392 0.500 1
```

---

No. 6
Compound: SrCuMo
Source: Alexandria
Functional: PBE
Structure: optimized geometry

Computed properties:
The value obtained for the offset from the most stable computed form is 0.000 eV/atom. For the raw total energy, the calculation gives -4.815 eV/atom. Its symmetry is Imm2. The value obtained for the total magnetic moment is 0.00 μB/cell.

```
data_SrCuMo
_chemical_formula_sum 'Sr1 Cu1 Mo1'
_cell_length_a 6.221
_cell_length_b 6.221
_cell_length_c 6.221
_cell_angle_alpha 152.56
_cell_angle_beta 144.67
_cell_angle_gamma 45.30
_symmetry_space_group_name_H-M 'P 1'
_symmetry_Int_Tables_number 1
loop_
_symmetry_equiv_pos_as_xyz
'x,y,z'
loop_
_atom_site_label
_atom_site_type_symbol
_atom_site_fract_x
_atom_site_fract_y
_atom_site_fract_z
_atom_site_occupancy
Sr1 Sr 0.000 0.000 0.000 1
Cu1 Cu 0.701 0.701 0.000 1
Mo1 Mo 0.284 0.284 0.000 1
```

---

No. 7
Compound: SrCuMo
Source: Alexandria
Functional: PBE
Structure: optimized geometry

Computed properties:
The value obtained for the offset from the most stable computed form is 0.289 eV/atom. For the raw total energy, the calculation gives -4.526 eV/atom. Its symmetry is P-6m2. The value obtained for the total magnetic moment is 0.87 μB/cell.

```
data_SrCuMo
_chemical_formula_sum 'Sr1 Cu1 Mo1'
_cell_length_a 4.910
_cell_length_b 4.910
_cell_length_c 2.937
_cell_angle_alpha 90.00
_cell_angle_beta 90.00
_cell_angle_gamma 120.00
_symmetry_space_group_name_H-M 'P 1'
_symmetry_Int_Tables_number 1
loop_
_symmetry_equiv_pos_as_xyz
'x,y,z'
loop_
_atom_site_label
_atom_site_type_symbol
_atom_site_fract_x
_atom_site_fract_y
_atom_site_fract_z
_atom_site_occupancy
Sr1 Sr 0.000 0.000 0.000 1
Cu1 Cu 0.667 0.333 0.500 1
Mo1 Mo 0.333 0.667 0.500 1
```

---

No. 8
Compound: SrCu2Mo2
Source: Alexandria
Functional: PBE
Structure: optimized geometry

Computed properties:
The value obtained for the offset from the most stable computed form is 0.000 eV/atom. For the raw total energy, the calculation gives -5.873 eV/atom. Its symmetry is I4/mmm. The value obtained for the total magnetic moment is 0.00 μB/cell.

```
data_SrCu2Mo2
_chemical_formula_sum 'Sr1 Cu2 Mo2'
_cell_length_a 6.931
_cell_length_b 6.931
_cell_length_c 6.931
_cell_angle_alpha 147.91
_cell_angle_beta 147.91
_cell_angle_gamma 46.02
_symmetry_space_group_name_H-M 'P 1'
_symmetry_Int_Tables_number 1
loop_
_symmetry_equiv_pos_as_xyz
'x,y,z'
loop_
_atom_site_label
_atom_site_type_symbol
_atom_site_fract_x
_atom_site_fract_y
_atom_site_fract_z
_atom_site_occupancy
Sr1 Sr 0.000 0.000 0.000 1
Cu1 Cu 0.395 0.395 0.000 1
Cu2 Cu 0.605 0.605 0.000 1
Mo1 Mo 0.250 0.750 0.500 1
Mo2 Mo 0.750 0.250 0.500 1
```

---

No. 9
Compound: SrCuMo4
Source: Alexandria
Functional: PBE
Structure: optimized geometry

Computed properties:
For the raw total energy, the calculation gives -7.390 eV/atom. Its symmetry is F-43m. The value obtained for the total magnetic moment is 0.00 μB/cell.

```
data_SrCuMo4
_chemical_formula_sum 'Sr1 Cu1 Mo4'
_cell_length_a 5.428
_cell_length_b 5.428
_cell_length_c 5.428
_cell_angle_alpha 60.00
_cell_angle_beta 60.00
_cell_angle_gamma 60.00
_symmetry_space_group_name_H-M 'P 1'
_symmetry_Int_Tables_number 1
loop_
_symmetry_equiv_pos_as_xyz
'x,y,z'
loop_
_atom_site_label
_atom_site_type_symbol
_atom_site_fract_x
_atom_site_fract_y
_atom_site_fract_z
_atom_site_occupancy
Sr1 Sr 0.000 0.000 0.000 1
Cu1 Cu 0.750 0.750 0.750 1
Mo1 Mo 0.375 0.375 0.375 1
Mo2 Mo 0.375 0.375 0.874 1
Mo3 Mo 0.375 0.874 0.375 1
Mo4 Mo 0.874 0.375 0.375 1
```

---

No. 10
Compound: Ta3CuMo
Source: Alexandria
Functional: PBE
Structure: optimized geometry

Computed properties:
The value obtained for the offset from the most stable computed form is 0.000 eV/atom. For the raw total energy, the calculation gives -8.757 eV/atom. Its symmetry is Pm-3m. The value obtained for the total magnetic moment is 0.00 μB/cell.

```
data_Ta3CuMo
_chemical_formula_sum 'Ta3 Cu1 Mo1'
_cell_length_a 4.595
_cell_length_b 4.595
_cell_length_c 4.595
_cell_angle_alpha 90.00
_cell_angle_beta 90.00
_cell_angle_gamma 90.00
_symmetry_space_group_name_H-M 'P 1'
_symmetry_Int_Tables_number 1
loop_
_symmetry_equiv_pos_as_xyz
'x,y,z'
loop_
_atom_site_label
_atom_site_type_symbol
_atom_site_fract_x
_atom_site_fract_y
_atom_site_fract_z
_atom_site_occupancy
Ta1 Ta 0.000 0.000 0.500 1
Ta2 Ta 0.000 0.500 0.000 1
Ta3 Ta 0.500 0.000 0.000 1
Cu1 Cu 0.000 0.000 0.000 1
Mo1 Mo 0.500 0.500 0.500 1
```

---

No. 11
Compound: TaCuMo
Source: Alexandria
Functional: PBE
Structure: optimized geometry

Computed properties:
The value obtained for the offset from the most stable computed form is 0.608 eV/atom. For the raw total energy, the calculation gives -8.213 eV/atom. Its symmetry is F-43m. The value obtained for the total magnetic moment is 0.00 μB/cell.

```
data_TaCuMo
_chemical_formula_sum 'Ta1 Cu1 Mo1'
_cell_length_a 4.176
_cell_length_b 4.176
_cell_length_c 4.176
_cell_angle_alpha 60.00
_cell_angle_beta 60.00
_cell_angle_gamma 60.00
_symmetry_space_group_name_H-M 'P 1'
_symmetry_Int_Tables_number 1
loop_
_symmetry_equiv_pos_as_xyz
'x,y,z'
loop_
_atom_site_label
_atom_site_type_symbol
_atom_site_fract_x
_atom_site_fract_y
_atom_site_fract_z
_atom_site_occupancy
Ta1 Ta 0.000 0.000 0.000 1
Cu1 Cu 0.750 0.750 0.750 1
Mo1 Mo 0.500 0.500 0.500 1
```

---

No. 12
Compound: TaCuMo
Source: Alexandria
Functional: PBE
Structure: optimized geometry

Computed properties:
The value obtained for the offset from the most stable computed form is 0.000 eV/atom. For the raw total energy, the calculation gives -8.820 eV/atom. Its symmetry is Fmm2. The value obtained for the total magnetic moment is 0.00 μB/cell.

```
data_TaCuMo
_chemical_formula_sum 'Ta1 Cu1 Mo1'
_cell_length_a 6.821
_cell_length_b 6.692
_cell_length_c 2.717
_cell_angle_alpha 81.09
_cell_angle_beta 75.74
_cell_angle_gamma 23.17
_symmetry_space_group_name_H-M 'P 1'
_symmetry_Int_Tables_number 1
loop_
_symmetry_equiv_pos_as_xyz
'x,y,z'
loop_
_atom_site_label
_atom_site_type_symbol
_atom_site_fract_x
_atom_site_fract_y
_atom_site_fract_z
_atom_site_occupancy
Ta1 Ta 0.000 0.000 0.000 1
Cu1 Cu 0.336 0.336 0.664 1
Mo1 Mo 0.677 0.677 0.323 1
```

---

Number 1: energy of formation from the pure elements 0.810 eV/atom. Number 2: energy of formation from the pure elements 1.130 eV/atom. Number 3: energy of formation from the pure elements 3.156 eV/atom. Number 4: energy of formation from the pure elements 1.770 eV/atom. Number 5: energy of formation from the pure elements 0.573 eV/atom. Number 6: energy of formation from the pure elements 0.722 eV/atom. Number 7: energy of formation from the pure elements 1.011 eV/atom. Number 8: energy of formation from the pure elements 0.434 eV/atom. Number 9: energy of formation from the pure elements 0.793 eV/atom. Number 10: energy of formation from the pure elements 1.340 eV/atom. Number 11: energy of formation from the pure elements 0.714 eV/atom. Number 12: energy of formation from the pure elements 0.106 eV/atom.